Below is a relaxed KCaNi2Pb crystal, with properties calculated at the PBE-GGA level.

Summary:
energy relative to the elements = 1.237 eV/atom
total magnetization = 0.0 μB per cell

Cell lengths 4.9116, 5.7971, 4.9116 Å; angles 90.00, 90.00, 90.00 degrees
With the nearest neighbours (Å) after each atom.
Sites, in units of the cell vectors:
K (0.0000, 0.0000, 0.0000)  4 Ni 2.46
Ni (0.5000, 0.0000, 0.0000)  2 K 2.46
Pb (0.0000, 0.5000, 0.0000)  2 K 2.90
Ca (0.5000, 0.5000, 0.5000)  4 Pb 3.47, 8 Ni 3.80
Ni (0.0000, 0.0000, 0.5000)  2 K 2.46

Below is a relaxed BeRhPb2 crystal, with properties calculated at the PBE-GGA level.

Summary:
energy relative to the elements = -0.048 eV/atom
total magnetization = 0.0 μB per cell

Cell lengths 3.1529, 3.1530, 8.4904 Å; angles 90.00, 90.00, 90.00 degrees
With the nearest neighbours (Å) after each atom.
Sites, in units of the cell vectors:
Be (0.5000, 0.5000, 0.6623)  4 Rh 2.33
Pb (0.5000, 0.5000, 0.3280)  1 Be 2.84, 4 Rh 3.11, 4 Pb 3.15
Rh (0.0000, 0.0000, 0.5834)  4 Be 2.33
Pb (0.0000, 0.0000, 0.9263)  1 Rh 2.91, 4 Pb 3.15, 4 Be 3.16

Below is a relaxed AgSbW crystal, with properties calculated at the PBE-GGA level.

Summary:
VASP energy = -17.84 eV/cell
total magnetization = 0.0 μB per cell

Cell lengths 8.0568, 7.8875, 2.9264 Å; angles 82.70, 76.18, 21.12 degrees
With the nearest neighbours (Å) after each atom.
Sites, in units of the cell vectors:
W (0.6663, 0.6663, 0.3337)  2 Ag 2.82, 2 Sb 2.83, 4 W 2.93
Ag (0.0206, 0.0206, 0.9794)  2 W 2.82, 4 Ag 2.93
Sb (0.3130, 0.3130, 0.6870)  2 W 2.83, 4 Sb 2.93

Below is a relaxed SrPbSe2 crystal, with properties calculated at the PBE-GGA level.

Summary:
VASP energy = -17.36 eV/cell
total magnetization = 0.0 μB per cell

Cell lengths 6.4419, 6.4419, 4.6124 Å; angles 89.98, 89.98, 38.23 degrees
With the nearest neighbours (Å) after each atom.
Sites, in units of the cell vectors:
Sr (0.5078, 0.5078, 0.3749)  5 Se 3.13-3.20
Pb (0.7594, 0.7594, 0.8759)  1 Se 2.78
Se (0.2447, 0.2447, 0.3744)  4 Pb 3.13-3.14, 1 Sr 3.20
Se (0.9881, 0.9881, 0.8748)  1 Pb 2.78

Below is a relaxed NdSmSi2Pt5 crystal, with properties calculated at the PBE-GGA level.

Summary:
VASP energy = -59.91 eV/cell
total magnetization = 0.0 μB per cell

Cell lengths 4.2587, 4.2587, 9.0174 Å; angles 90.00, 90.00, 90.00 degrees
With the nearest neighbours (Å) after each atom.
Sites, in units of the cell vectors:
Pt (0.5000, 0.5000, 0.5000)  4 Nd 3.01, 8 Pt 3.02, 2 Si 3.31
Si (0.5000, 0.5000, 0.1333)  1 Si 2.40, 4 Pt 2.42
Pt (0.5000, 0.0000, 0.7383)  2 Si 2.42
Pt (0.5000, 0.0000, 0.2617)  2 Si 2.42
Sm (0.0000, 0.0000, 0.0000)  8 Pt 3.18, 8 Si 3.24
Si (0.5000, 0.5000, 0.8667)  1 Si 2.40, 4 Pt 2.42
Pt (0.0000, 0.5000, 0.2617)  2 Si 2.42
Pt (0.0000, 0.5000, 0.7383)  2 Si 2.42
Nd (0.0000, 0.0000, 0.5000)  12 Pt 3.01-3.02

Below is a relaxed K12Hg5Sb3 crystal, with properties calculated at the PBE-GGA level.

Summary:
VASP energy = -121.85 eV/cell
total magnetization = 0.0 μB per cell

Cell lengths 17.5388, 17.5388, 17.5388 Å; angles 109.47, 109.47, 109.47 degrees
With the nearest neighbours (Å) after each atom.
Sites, in units of the cell vectors:
K (0.2652, 0.8584, 0.9349)  2 Hg 3.36-3.55, 1 Sb 3.53, 1 K 3.62
K (0.4349, 0.7652, 0.8584)  2 Hg 3.36-3.55, 1 Sb 3.53, 1 K 3.62
Hg (0.0000, 0.0000, 0.5000)  6 K 3.55
K (0.3303, 0.5651, 0.4234)  2 Hg 3.36-3.55, 1 Sb 3.53, 1 K 3.62
Hg (0.8750, 0.6250, 0.7500)  4 K 3.36
Hg (0.1250, 0.7500, 0.3750)  4 K 3.36
Sb (0.3750, 0.7500, 0.6250)  8 K 3.53-3.76
K (0.1416, 0.7348, 0.5651)  2 Hg 3.36-3.55, 1 Sb 3.53, 1 K 3.62
Hg (0.3750, 0.1250, 0.7500)  4 K 3.36
Hg (0.7500, 0.6250, 0.3750)  4 K 3.36
Hg (0.0000, 0.5000, 0.0000)  6 K 3.55
Hg (0.7500, 0.1250, 0.8750)  4 K 3.36
Hg (0.8750, 0.2500, 0.6250)  4 K 3.36
K (0.9234, 0.0932, 0.8584)  2 Hg 3.36-3.55, 1 Sb 3.53, 1 K 3.62
Hg (0.3750, 0.2500, 0.1250)  4 K 3.36
K (0.5651, 0.3303, 0.9234)  2 Hg 3.36-3.55, 1 Sb 3.53, 1 K 3.62
K (0.0766, 0.1697, 0.4349)  2 Hg 3.36-3.55, 1 Sb 3.53, 1 K 3.62
Sb (0.7500, 0.3750, 0.1250)  8 K 3.53-3.76
K (0.6416, 0.0651, 0.2348)  2 Hg 3.36-3.55, 1 Sb 3.53, 1 K 3.62
K (0.1697, 0.0766, 0.9349)  2 Hg 3.36-3.55, 1 Sb 3.53, 1 K 3.62
K (0.2652, 0.4068, 0.8303)  2 Hg 3.36-3.55, 1 Sb 3.53, 1 K 3.62
K (0.4349, 0.6697, 0.0766)  2 Hg 3.36-3.55, 1 Sb 3.53, 1 K 3.62
Sb (0.7500, 0.8750, 0.6250)  8 K 3.53-3.76
Sb (0.8750, 0.7500, 0.1250)  8 K 3.53-3.76
Sb (0.2500, 0.1250, 0.3750)  8 K 3.53-3.76
K (0.6416, 0.5766, 0.9068)  2 Hg 3.36-3.55, 1 Sb 3.53, 1 K 3.62
Sb (0.2500, 0.6250, 0.8750)  8 K 3.53-3.76
Hg (0.5000, 0.0000, 0.0000)  6 K 3.55
K (0.8303, 0.9068, 0.2652)  2 Hg 3.36-3.55, 1 Sb 3.53, 1 K 3.62
K (0.2348, 0.5651, 0.6416)  2 Hg 3.36-3.55, 1 Sb 3.53, 1 K 3.62
K (0.0932, 0.9234, 0.3584)  2 Hg 3.36-3.55, 1 Sb 3.53, 1 K 3.62
K (0.2348, 0.6697, 0.0932)  2 Hg 3.36-3.55, 1 Sb 3.53, 1 K 3.62
Sb (0.6250, 0.3750, 0.7500)  8 K 3.53-3.76
Hg (0.2500, 0.8750, 0.1250)  4 K 3.36
K (0.7652, 0.4349, 0.3584)  2 Hg 3.36-3.55, 1 Sb 3.53, 1 K 3.62
K (0.6697, 0.4349, 0.5766)  2 Hg 3.36-3.55, 1 Sb 3.53, 1 K 3.62
K (0.8584, 0.5932, 0.9234)  2 Hg 3.36-3.55, 1 Sb 3.53, 1 K 3.62
K (0.0651, 0.4234, 0.8303)  2 Hg 3.36-3.55, 1 Sb 3.53, 1 K 3.62
K (0.3584, 0.4234, 0.0932)  2 Hg 3.36-3.55, 1 Sb 3.53, 1 K 3.62
Hg (0.6250, 0.7500, 0.8750)  4 K 3.36
K (0.4068, 0.1416, 0.5766)  2 Hg 3.36-3.55, 1 Sb 3.53, 1 K 3.62
K (0.9068, 0.0766, 0.6416)  2 Hg 3.36-3.55, 1 Sb 3.53, 1 K 3.62
K (0.4068, 0.2652, 0.3303)  2 Hg 3.36-3.55, 1 Sb 3.53, 1 K 3.62
Hg (0.1250, 0.3750, 0.2500)  4 K 3.36
K (0.4234, 0.0651, 0.3303)  2 Hg 3.36-3.55, 1 Sb 3.53, 1 K 3.62
Hg (0.0000, 0.0000, 0.0000)  6 K 3.55
K (0.5651, 0.2348, 0.1416)  2 Hg 3.36-3.55, 1 Sb 3.53, 1 K 3.62
Hg (0.5000, 0.0000, 0.5000)  6 K 3.55
K (0.7348, 0.1416, 0.0651)  2 Hg 3.36-3.55, 1 Sb 3.53, 1 K 3.62
K (0.0932, 0.1697, 0.2348)  2 Hg 3.36-3.55, 1 Sb 3.53, 1 K 3.62
K (0.3584, 0.9349, 0.7652)  2 Hg 3.36-3.55, 1 Sb 3.53, 1 K 3.62
K (0.6697, 0.2348, 0.5932)  2 Hg 3.36-3.55, 1 Sb 3.53, 1 K 3.62
Sb (0.3750, 0.6250, 0.2500)  8 K 3.53-3.76
K (0.5766, 0.6416, 0.4068)  2 Hg 3.36-3.55, 1 Sb 3.53, 1 K 3.62
Hg (0.6250, 0.8750, 0.2500)  4 K 3.36
K (0.7652, 0.3303, 0.9068)  2 Hg 3.36-3.55, 1 Sb 3.53, 1 K 3.62
K (0.5932, 0.7348, 0.6697)  2 Hg 3.36-3.55, 1 Sb 3.53, 1 K 3.62
K (0.4234, 0.3584, 0.5932)  2 Hg 3.36-3.55, 1 Sb 3.53, 1 K 3.62
K (0.5932, 0.8584, 0.4234)  2 Hg 3.36-3.55, 1 Sb 3.53, 1 K 3.62
K (0.7348, 0.5932, 0.1697)  2 Hg 3.36-3.55, 1 Sb 3.53, 1 K 3.62
Hg (0.5000, 0.5000, 0.0000)  6 K 3.55
K (0.5766, 0.9349, 0.6697)  2 Hg 3.36-3.55, 1 Sb 3.53, 1 K 3.62
K (0.8584, 0.2652, 0.4349)  2 Hg 3.36-3.55, 1 Sb 3.53, 1 K 3.62
Hg (0.5000, 0.5000, 0.5000)  6 K 3.55
K (0.9349, 0.3584, 0.2652)  2 Hg 3.36-3.55, 1 Sb 3.53, 1 K 3.62
K (0.9349, 0.5766, 0.1697)  2 Hg 3.36-3.55, 1 Sb 3.53, 1 K 3.62
K (0.1416, 0.4068, 0.0766)  2 Hg 3.36-3.55, 1 Sb 3.53, 1 K 3.62
K (0.9234, 0.8303, 0.5651)  2 Hg 3.36-3.55, 1 Sb 3.53, 1 K 3.62
K (0.0766, 0.9068, 0.1416)  2 Hg 3.36-3.55, 1 Sb 3.53, 1 K 3.62
Sb (0.6250, 0.2500, 0.3750)  8 K 3.53-3.76
K (0.3303, 0.7652, 0.4068)  2 Hg 3.36-3.55, 1 Sb 3.53, 1 K 3.62
Hg (0.0000, 0.5000, 0.5000)  6 K 3.55
Sb (0.1250, 0.8750, 0.7500)  8 K 3.53-3.76
K (0.0651, 0.6416, 0.7348)  2 Hg 3.36-3.55, 1 Sb 3.53, 1 K 3.62
K (0.1697, 0.0932, 0.7348)  2 Hg 3.36-3.55, 1 Sb 3.53, 1 K 3.62
Sb (0.1250, 0.2500, 0.8750)  8 K 3.53-3.76
Hg (0.2500, 0.3750, 0.6250)  4 K 3.36
K (0.9068, 0.8303, 0.7652)  2 Hg 3.36-3.55, 1 Sb 3.53, 1 K 3.62
K (0.8303, 0.9234, 0.0651)  2 Hg 3.36-3.55, 1 Sb 3.53, 1 K 3.62
Sb (0.8750, 0.1250, 0.2500)  8 K 3.53-3.76